# Pm2DyHg | Alexandria | PBE-GGA | relaxed
# Energy of formation from the pure elements   -0.899 eV per formula unit
# N(E_F)   0.93 states/eV/atom
# Energy   -3.8260 eV/atom
# E above lowest polymorph   0.4 kJ/mol of atoms
data_Pm2DyHg
_chemical_formula_sum 'Pm4 Dy2 Hg2'
_space_group_name_H-M_alt 'P 1'
_space_group_IT_number 1
_space_group_name_Hall 'P 1'
_cell_length_a 3.714
_cell_length_b 6.532
_cell_length_c 10.425
_cell_angle_alpha 90.00
_cell_angle_beta 90.00
_cell_angle_gamma 106.52
loop_
_atom_site_label
_atom_site_fract_x
_atom_site_fract_y
_atom_site_fract_z
Dy1 0.048 0.095 0.750
Dy2 0.952 0.905 0.250
Pm1 0.630 0.261 0.040
Pm2 0.630 0.261 0.460
Pm3 0.370 0.739 0.960
Pm4 0.370 0.739 0.540
Hg1 0.245 0.489 0.250
Hg2 0.755 0.511 0.750

---

# Ca4PbAu3 | Alexandria | PBE-GGA | relaxed
# Energy of formation from the pure elements   -5.662 eV per formula unit
# N(E_F)   0.42 states/eV/atom
# Energy   -3.4011 eV/atom
data_Ca4PbAu3
_chemical_formula_sum 'Ca4 Pb1 Au3'
_space_group_name_H-M_alt 'P 1'
_space_group_IT_number 1
_space_group_name_Hall 'P 1'
_cell_length_a 3.914
_cell_length_b 4.833
_cell_length_c 11.421
_cell_angle_alpha 90.00
_cell_angle_beta 90.00
_cell_angle_gamma 90.00
loop_
_atom_site_label
_atom_site_fract_x
_atom_site_fract_y
_atom_site_fract_z
Pb1 0.500 0.500 0.083
Ca1 0.500 0.000 0.639
Ca2 0.500 0.500 0.371
Ca3 0.000 0.000 0.146
Ca4 0.000 0.500 0.849
Au1 0.500 0.000 0.909
Au2 0.000 0.500 0.580
Au3 0.000 0.000 0.423

---

# NaCd3O | Alexandria | PBE-GGA | relaxed
# N(E_F)   5.85 states/eV/atom
# Energy   -0.9633 eV/atom
# ΔE_f (raw)   4.206 eV per formula unit
# E above lowest polymorph   89.6 kJ/mol of atoms
data_NaCd3O
_chemical_formula_sum 'Na1 Cd3 O1'
_space_group_name_H-M_alt 'P 1'
_space_group_IT_number 1
_space_group_name_Hall 'P 1'
_cell_length_a 5.728
_cell_length_b 5.728
_cell_length_c 5.728
_cell_angle_alpha 90.00
_cell_angle_beta 90.00
_cell_angle_gamma 90.00
loop_
_atom_site_label
_atom_site_fract_x
_atom_site_fract_y
_atom_site_fract_z
Cd1 0.000 0.500 0.000
Cd2 0.500 0.000 0.000
Cd3 0.000 0.000 0.500
O1 0.500 0.500 0.500
Na1 0.000 0.000 0.000

---

# BaSiW | Alexandria | PBE-GGA | relaxed
# N(E_F)   0.57 states/eV/atom
# Energy   -4.6018 eV/atom
# ΔE_f (raw)   6.494 eV per formula unit
data_BaSiW
_chemical_formula_sum 'Ba1 Si1 W1'
_space_group_name_H-M_alt 'P 1'
_space_group_IT_number 1
_space_group_name_Hall 'P 1'
_cell_length_a 5.162
_cell_length_b 5.162
_cell_length_c 5.162
_cell_angle_alpha 60.00
_cell_angle_beta 60.00
_cell_angle_gamma 60.00
loop_
_atom_site_label
_atom_site_fract_x
_atom_site_fract_y
_atom_site_fract_z
Si1 0.000 0.000 0.000
Ba1 0.750 0.750 0.750
W1 0.500 0.500 0.500

---

# NiP2RhS | Alexandria | PBE-GGA | relaxed
# N(E_F)   0.61 states/eV/atom
# Energy   -5.7767 eV/atom
# ΔE_f (raw)   -0.804 eV per formula unit
# E above lowest polymorph   19.0 kJ/mol of atoms
data_NiP2RhS
_chemical_formula_sum 'Ni1 P2 Rh1 S1'
_space_group_name_H-M_alt 'P 1'
_space_group_IT_number 1
_space_group_name_Hall 'P 1'
_cell_length_a 3.537
_cell_length_b 3.743
_cell_length_c 6.018
_cell_angle_alpha 75.65
_cell_angle_beta 77.52
_cell_angle_gamma 76.16
loop_
_atom_site_label
_atom_site_fract_x
_atom_site_fract_y
_atom_site_fract_z
Ni1 0.358 0.041 0.477
P1 0.786 0.503 0.366
P2 0.222 0.919 0.157
Rh1 0.663 0.360 0.027
S1 0.785 0.947 0.737

---

# In2SiOs | Alexandria | PBE-GGA | relaxed
# N(E_F)   0.61 states/eV/atom
# Energy   -4.8409 eV/atom
# ΔE_f (raw)   2.766 eV per formula unit
data_In2SiOs
_chemical_formula_sum 'In2 Si1 Os1'
_space_group_name_H-M_alt 'P 1'
_space_group_IT_number 1
_space_group_name_Hall 'P 1'
_cell_length_a 3.359
_cell_length_b 4.693
_cell_length_c 4.623
_cell_angle_alpha 90.00
_cell_angle_beta 90.00
_cell_angle_gamma 90.00
loop_
_atom_site_label
_atom_site_fract_x
_atom_site_fract_y
_atom_site_fract_z
Os1 0.500 0.000 0.500
In1 0.500 0.500 0.000
In2 0.000 0.000 0.000
Si1 0.000 0.500 0.500

---

# Na4Np3CdSe8 | Alexandria | PBE-GGA | relaxed
# N(E_F)   1.83 states/eV/atom
# Energy   -5.6611 eV/atom
# ΔE_f (raw)   -17.687 eV per formula unit
data_Na4Np3CdSe8
_chemical_formula_sum 'Na4 Np3 Cd1 Se8'
_space_group_name_H-M_alt 'P 1'
_space_group_IT_number 1
_space_group_name_Hall 'P 1'
_cell_length_a 8.341
_cell_length_b 8.476
_cell_length_c 8.344
_cell_angle_alpha 119.50
_cell_angle_beta 119.99
_cell_angle_gamma 90.00
loop_
_atom_site_label
_atom_site_fract_x
_atom_site_fract_y
_atom_site_fract_z
Se1 0.756 0.270 0.015
Se2 0.244 0.730 0.489
Se3 0.743 0.729 0.486
Se4 0.244 0.730 0.985
Se5 0.756 0.270 0.511
Se6 0.257 0.271 0.514
Se7 0.259 0.270 0.015
Se8 0.741 0.730 0.985
Np1 0.000 0.500 0.500
Np2 0.500 0.500 0.000
Np3 0.500 0.500 0.500
Na1 0.500 0.000 0.500
Na2 0.000 0.000 0.000
Na3 0.000 0.000 0.500
Na4 0.500 0.000 0.000
Cd1 0.000 0.500 0.000

---

# ThNbCo2 | Alexandria | PBE-GGA | relaxed
# Energy of formation from the pure elements   -0.611 eV per formula unit
# N(E_F)   0.89 states/eV/atom
# Energy   -8.0780 eV/atom
data_ThNbCo2
_chemical_formula_sum 'Th1 Nb1 Co2'
_space_group_name_H-M_alt 'P 1'
_space_group_IT_number 1
_space_group_name_Hall 'P 1'
_cell_length_a 4.157
_cell_length_b 4.157
_cell_length_c 5.512
_cell_angle_alpha 67.85
_cell_angle_beta 67.85
_cell_angle_gamma 60.00
loop_
_atom_site_label
_atom_site_fract_x
_atom_site_fract_y
_atom_site_fract_z
Co1 0.789 0.789 0.633
Co2 0.211 0.211 0.367
Nb1 0.500 0.500 0.500
Th1 0.000 0.000 0.000